Record 1
This record from Alexandria via LeMat-Bulk describes a relaxed BeZnNi6 crystal. The functional is GGA-PBEsol.

Cell: 5.9834 5.9834 9.7878 Å, 90.00 90.00 109.71°
Positions (direct):
Be 0.0000 0.0000 0.2465
Be 0.0000 0.0000 0.7535
Be 0.2521 0.7479 0.0000
Be 0.7479 0.2521 0.0000
Zn 0.2538 0.7462 0.5000
Zn 0.5000 0.5000 0.2481
Zn 0.5000 0.5000 0.7519
Zn 0.7462 0.2538 0.5000
Ni 0.0000 0.0000 0.0000
Ni 0.0000 0.0000 0.5000
Ni 0.1178 0.3706 0.1211
Ni 0.1178 0.3706 0.8789
Ni 0.1190 0.3658 0.3704
Ni 0.1190 0.3658 0.6296
Ni 0.2481 0.7519 0.2420
Ni 0.2481 0.7519 0.7580
Ni 0.3658 0.1190 0.3704
Ni 0.3658 0.1190 0.6296
Ni 0.3706 0.1178 0.1211
Ni 0.3706 0.1178 0.8789
Ni 0.5000 0.5000 0.0000
Ni 0.5000 0.5000 0.5000
Ni 0.6294 0.8822 0.1211
Ni 0.6294 0.8822 0.8789
Ni 0.6342 0.8810 0.3704
Ni 0.6342 0.8810 0.6296
Ni 0.7519 0.2481 0.2420
Ni 0.7519 0.2481 0.7580
Ni 0.8810 0.6342 0.3704
Ni 0.8810 0.6342 0.6296
Ni 0.8822 0.6294 0.1211
Ni 0.8822 0.6294 0.8789

## Properties
VASP energy = -5.4532 eV per atom


Record 2
This record from Alexandria via LeMat-Bulk describes a relaxed H3AuF crystal. The functional is GGA-PBEsol.

Cell: 3.4651 3.4651 3.4651 Å, 90.00 90.00 90.00°
Positions (direct):
H 0.0000 0.0000 0.5000
H 0.0000 0.5000 0.0000
H 0.5000 0.0000 0.0000
Au 0.0000 0.0000 0.0000
F 0.5000 0.5000 0.5000

## Properties
VASP energy = -3.0766 eV per atom


Record 3
This record from Alexandria via LeMat-Bulk describes a relaxed K2RbLiBe crystal. The functional is GGA-PBEsol.

Cell: 7.4008 7.4008 6.1942 Å, 90.00 90.00 90.00°
Positions (direct):
K 0.0000 0.5000 0.0000
K 0.5000 0.0000 0.0000
Rb 0.0000 0.0000 0.0000
Li 0.0000 0.0000 0.5000
Be 0.5000 0.5000 0.5000

## Properties
VASP energy = -0.7532 eV per atom